A plane-wave DFT calculation with PBEsol was carried out for an optimized crystal structure of BaSr3Fe.

## Properties
**Raw total energy**: -9.01 eV per cell
**ΔH_f (0 K)**: 147 kJ per mole of atoms

Cell and atoms, written as CIF:
```
data_BaSr3Fe
_cell_length_a 6.0240
_cell_length_b 6.0240
_cell_length_c 6.0240
_cell_angle_alpha 90.00
_cell_angle_beta 90.00
_cell_angle_gamma 90.00
_symmetry_space_group_name_H-M 'P m -3 m'
_symmetry_Int_Tables_number 221
_symmetry_space_group_name_Hall '-P 4 2 3'
loop_
_atom_site_label
_atom_site_type_symbol
_atom_site_fract_x
_atom_site_fract_y
_atom_site_fract_z
Ba1 Ba 0.0000 0.0000 0.0000
Sr1 Sr 0.0000 0.0000 0.5000
Fe1 Fe 0.5000 0.5000 0.5000
```

A plane-wave DFT calculation with PBEsol was carried out for an optimized crystal structure of BaTa2Fe.

## Properties
**Raw total energy**: -33.74 eV per cell
**ΔH_f (0 K)**: 60 kJ per mole of atoms

Cell and atoms, written as CIF:
```
data_BaTa2Fe
_cell_length_a 2.9908
_cell_length_b 3.4692
_cell_length_c 8.1035
_cell_angle_alpha 90.00
_cell_angle_beta 93.98
_cell_angle_gamma 90.00
_symmetry_space_group_name_H-M 'P 1 2/m 1'
_symmetry_Int_Tables_number 10
loop_
_symmetry_equiv_pos_as_xyz
'x,y,z'
'-x,-y,-z'
'-x,y,-z'
'x,-y,z'
loop_
_atom_site_label
_atom_site_type_symbol
_atom_site_fract_x
_atom_site_fract_y
_atom_site_fract_z
Ba1 Ba 0.0000 0.0000 0.0000
Ta1 Ta 0.4311 0.5000 0.6566
Fe1 Fe 0.0000 0.0000 0.5000
```

A plane-wave DFT calculation with PBEsol was carried out for an optimized crystal structure of Ba2TaFe.

## Properties
**Raw total energy**: -40.54 eV per cell
**ΔH_f (0 K)**: 134 kJ per mole of atoms

Cell and atoms, written as CIF:
```
data_Ba2TaFe
_cell_length_a 4.4775
_cell_length_b 4.4775
_cell_length_c 10.3603
_cell_angle_alpha 90.00
_cell_angle_beta 90.00
_cell_angle_gamma 90.00
_symmetry_space_group_name_H-M 'I 4/m m m'
_symmetry_Int_Tables_number 139
_symmetry_space_group_name_Hall '-I 4 2'
loop_
_atom_site_label
_atom_site_type_symbol
_atom_site_fract_x
_atom_site_fract_y
_atom_site_fract_z
Ba1 Ba 0.0000 0.5000 0.2500
Ta1 Ta 0.0000 0.0000 0.0000
Fe1 Fe 0.0000 0.0000 0.5000
```

A plane-wave DFT calculation with PBEsol was carried out for an optimized crystal structure of BaTa3Fe.

## Properties
**Raw total energy**: -44.06 eV per cell
**ΔH_f (0 K)**: 91 kJ per mole of atoms

Cell and atoms, written as CIF:
```
data_BaTa3Fe
_cell_length_a 4.7331
_cell_length_b 4.7331
_cell_length_c 4.7331
_cell_angle_alpha 90.00
_cell_angle_beta 90.00
_cell_angle_gamma 90.00
_symmetry_space_group_name_H-M 'P m -3 m'
_symmetry_Int_Tables_number 221
_symmetry_space_group_name_Hall '-P 4 2 3'
loop_
_atom_site_label
_atom_site_type_symbol
_atom_site_fract_x
_atom_site_fract_y
_atom_site_fract_z
Ba1 Ba 0.0000 0.0000 0.0000
Ta1 Ta 0.0000 0.5000 0.5000
Fe1 Fe 0.5000 0.5000 0.5000
```

A plane-wave DFT calculation with PBEsol was carried out for an optimized crystal structure of Ba2TaFe.

## Properties
**Raw total energy**: -79.57 eV per cell
**ΔH_f (0 K)**: 143 kJ per mole of atoms

Cell and atoms, written as CIF:
```
data_Ba2TaFe
_cell_length_a 7.6334
_cell_length_b 7.6334
_cell_length_c 7.6334
_cell_angle_alpha 90.00
_cell_angle_beta 90.00
_cell_angle_gamma 90.00
_symmetry_space_group_name_H-M 'F m -3 m'
_symmetry_Int_Tables_number 225
_symmetry_space_group_name_Hall '-F 4 2 3'
loop_
_atom_site_label
_atom_site_type_symbol
_atom_site_fract_x
_atom_site_fract_y
_atom_site_fract_z
Ba1 Ba 0.2500 0.2500 0.2500
Ta1 Ta 0.0000 0.0000 0.0000
Fe1 Fe 0.0000 0.0000 0.5000
```

A plane-wave DFT calculation with PBEsol was carried out for an optimized crystal structure of Ba2TaFe.

## Properties
**Raw total energy**: -61.40 eV per cell
**ΔH_f (0 K)**: 129 kJ per mole of atoms

Cell and atoms, written as CIF:
```
data_Ba2TaFe
_cell_length_a 3.3312
_cell_length_b 3.3312
_cell_length_c 32.3523
_cell_angle_alpha 90.00
_cell_angle_beta 90.00
_cell_angle_gamma 120.00
_symmetry_space_group_name_H-M 'R -3 m'
_symmetry_Int_Tables_number 166
_symmetry_space_group_name_Hall '-R 3 2"'
loop_
_atom_site_label
_atom_site_type_symbol
_atom_site_fract_x
_atom_site_fract_y
_atom_site_fract_z
Ba1 Ba 0.0000 0.0000 0.2458
Ta1 Ta 0.0000 0.0000 0.0000
Fe1 Fe 0.0000 0.0000 0.5000
```